TaSiAs: optimized geometry, PBE.

```
TaSiAs
1.0
-2.744 -6.147 -0.489
2.633 -1.306 1.644
-3.929 1.178 7.230
Si As Ta
4 4 4
Cartesian
-1.944 -0.601 7.811
-2.041 -2.206 3.241
-1.999 -4.069 5.143
-2.096 -5.675 0.573
-3.324 -5.154 2.953
-0.693 -2.457 0.883
-0.716 -1.122 5.431
-3.347 -3.818 7.501
-3.324 -1.749 5.660
-4.685 -4.825 5.395
-0.716 -4.527 2.725
0.645 -1.450 2.989
```

## Properties
energy relative to the lowest polymorph listed for this composition: 0.55 eV/f.u.
SG: Pnma (62)